# Rb2Tl2I5 PBE optimized geometry
# - formation energy from raw total energies (eV per formula unit) = -8.18
# - uncorrected energy (eV per cell) = -90.387
data_Rb2Tl2I5
_symmetry_space_group_name_H-M 'I m a 2'
_symmetry_Int_Tables_number 46
_cell_length_a 24.511
_cell_length_b 9.060
_cell_length_c 8.679
_cell_angle_alpha 90.00
_cell_angle_beta 90.00
_cell_angle_gamma 90.00
loop_
_symmetry_equiv_pos_as_xyz
'x,y,z'
'-x,-y,z'
'-x+1/2,y,z'
'x+1/2,-y,z'
'x+1/2,y+1/2,z+1/2'
'-x+1/2,-y+1/2,z+1/2'
'-x,y+1/2,z+1/2'
'x,-y+1/2,z+1/2'
loop_
_atom_site_label
_atom_site_fract_x
_atom_site_fract_y
_atom_site_fract_z
Rb1 0.105 0.029 0.000
Tl1 0.000 0.000 0.533
Tl2 0.250 0.562 0.949
I1 0.018 0.742 0.777
I2 0.129 0.070 0.556
I3 0.250 0.588 0.562